Al3SnW | PBE | relaxed

Geometry as POSCAR:
```
Al3SnW
1.0
4.920 0.000 0.000
0.000 4.920 0.000
0.000 0.000 4.920
Al Sn W
3 1 1
direct
0.000 0.000 0.500
0.000 0.500 0.000
0.500 0.000 0.000
0.500 0.500 0.500
0.000 0.000 0.000
```

Values from the calculation:
The calculation puts the size of the total moment at 0.00 Bohr magnetons per cell. The calculated volume comes out at 119.1 Å³ per cell. The calculation puts the energy relative to the lowest polymorph listed for this composition at 0.000 eV/f.u. The value obtained for the calculated total energy is -5.02 eV/atom.